[1]
DFT (PBE-GGA) results for BaLiIr2 after structural relaxation.

Relative energy among the computed polymorphs   547 meV per atom
Electronic total energy   -5.024 eV/atom
E_form   0.37 eV/atom
Fermi-level density of states   4.9 states/eV/cell

Cell lengths 2.8900, 4.3100, 6.6479 Å; angles 90.00, 90.00, 90.00 degrees
Space group Pmmm (No. 47)
Inequivalent atoms, fractional coordinates:
Ba: 0.0000 0.0000 0.0000
Li: 0.0000 0.0000 0.5000
Ir: 0.5000 0.5000 0.3178

[2]
DFT (PBE-GGA) results for KLaZn2 after structural relaxation.

Relative energy among the computed polymorphs   154 meV per atom
Electronic total energy   -2.028 eV/atom
E_form   0.12 eV/atom
Fermi-level density of states   10.5 states/eV/cell

Cell lengths 3.9495, 3.9495, 29.0017 Å; angles 90.00, 90.00, 120.00 degrees
Space group R-3m (No. 166, hexagonal axes)
Inequivalent atoms, fractional coordinates:
K: 0.0000 0.0000 0.0000
La: 0.0000 0.0000 0.5000
Zn: 0.0000 0.0000 0.2416

[3]
DFT (PBE-GGA) results for LaBe2Ni2 after structural relaxation.

Relative energy among the computed polymorphs   231 meV per atom
Electronic total energy   -4.769 eV/atom
E_form   0.02 eV/atom
Fermi-level density of states   7.4 states/eV/cell

Cell lengths 7.0614, 7.0614, 2.7644 Å; angles 90.00, 90.00, 90.00 degrees
Space group P4/mbm (No. 127)
Inequivalent atoms, fractional coordinates:
La: 0.0000 0.0000 0.0000
Be: 0.1078 0.3922 0.0000
Ni: 0.1561 0.6561 0.5000

[4]
DFT (PBE-GGA) results for In3Hg2Te2 after structural relaxation.

ΔE_f (raw)   -115 kJ/mol of formula units
Electronic total energy   -2.328 eV/atom
Fermi-level density of states   2.1 states/eV/cell

Cell lengths 4.5233, 7.0497, 7.5710 Å; angles 89.35, 72.74, 71.36 degrees
Space group P-1 (No. 2)
Inequivalent atoms, fractional coordinates:
In: 0.0000 0.0000 0.0000
In: 0.4227 0.7208 0.4294
Hg: 0.1388 0.5809 0.1399
Te: 0.2790 0.1479 0.2948